Material: Ac2MgIn3Ga4
Method: DFT, GGA-PBE
State: relaxed

Lattice parameters (Å, degrees): 4.7183 4.7183 11.3567 90.00 90.00 90.00
Last column: nearest neighbours and their distance in Å.
Space group P-4m2 (No. 115)
Symmetry-distinct sites (fractional):
1 Ac 0.0000 0.5000 0.2440 [2 per cell]  6 In 3.58-3.74, 8 Ga 3.61-3.64, 2 Mg 3.74
2 Mg 0.0000 0.0000 0.5000 [1 per cell]  4 Ga 2.82
3 In 0.0000 0.5000 0.8714 [2 per cell]  5 Ga 2.68-2.77
4 In 0.5000 0.5000 0.5000 [1 per cell]  4 Ga 2.82
5 Ga 0.0000 0.0000 0.0000 [1 per cell]  4 In 2.77
6 Ga 0.0000 0.5000 0.6352 [2 per cell]  3 In 2.68-2.82, 2 Mg 2.82
7 Ga 0.5000 0.5000 0.0000 [1 per cell]  4 In 2.77

DFT formation energy = -0.372 eV per atom
density = 7.235 g/cm³
N(E_F) = 0.31 states/eV per atom